one) The following is a DFT calculation (GGA-PBE) of an optimized crystal structure of Cs2Rb2Rh.

Properties
Symmetry: I4/mmm

Cell and atoms, written as extended XYZ:
```
5
Lattice="5.328 0.000 0.000 0.000 5.328 0.000 2.664 2.664 11.577" Properties=species:S:1:pos:R:3 pbc="T T T"
Cs 5.328 2.664 5.789
Cs 2.664 5.328 5.789
Rh 0.000 0.000 0.000
Rb 2.664 2.664 1.719
Rb 5.328 5.328 9.858
```

two) The following is a DFT calculation (GGA-PBE) of an optimized crystal structure of Cs2Rb2Rh.

Properties
Symmetry: P4/mbm

Cell and atoms, written as extended XYZ:
```
10
Lattice="-2.790 4.988 6.853 -7.235 2.356 -4.661 -3.773 -5.994 2.827" Properties=species:S:1:pos:R:3 pbc="T T T"
Cs -7.513 -0.348 -0.478
Cs -9.627 2.380 2.485
Cs -6.286 1.698 5.497
Cs -4.172 -1.030 2.534
Rh 0.000 0.000 0.000
Rh -5.013 3.672 1.096
Rb -6.864 3.556 -1.621
Rb -7.191 5.702 2.494
Rb -3.161 3.788 3.812
Rb -2.835 1.642 -0.302
```

Referenced to the most stable arrangement, the calculated values in kJ/mol of atoms are one) 35.0; two) 0.0.